Entry from the Alexandria database: Ba2CaHg2 after structural relaxation (PBEsol).

Summary:
- crystal system = tetragonal
- magnetization (μB/atom) = 0.00
- density of states at the Fermi level (states/eV per cell) = 10.33
- energy relative to the elements (eV/atom) = -0.4331

CIF file:
```
data_Ba2CaHg2
_chemical_formula_sum 'Ba4 Ca2 Hg4'
_cell_length_a 9.0934
_cell_length_b 9.0934
_cell_length_c 4.4323
_cell_angle_alpha 90.00
_cell_angle_beta 90.00
_cell_angle_gamma 90.00
_symmetry_space_group_name_H-M 'P 4/m b m'
_symmetry_Int_Tables_number 127
_symmetry_space_group_name_Hall '-P 4 2ab'
loop_
_atom_site_label
_atom_site_fract_x
_atom_site_fract_y
_atom_site_fract_z
_atom_site_occupancy
Ba1 0.1541 0.3459 0.0000 1
Ca1 0.0000 0.0000 0.5000 1
Hg1 0.1432 0.6432 0.5000 1
```

=====

Entry from the Alexandria database: BaCaHgP2 after structural relaxation (PBEsol).

Summary:
- crystal system = tetragonal
- magnetization (μB/atom) = 0.00
- density of states at the Fermi level (states/eV per cell) = 3.21
- energy relative to the elements (eV/atom) = 0.0980

CIF file:
```
data_BaCaHgP2
_chemical_formula_sum 'Ba1 Ca1 Hg1 P2'
_cell_length_a 5.3069
_cell_length_b 5.3069
_cell_length_c 5.1801
_cell_angle_alpha 90.00
_cell_angle_beta 90.00
_cell_angle_gamma 90.00
_symmetry_space_group_name_H-M 'P 4/m m m'
_symmetry_Int_Tables_number 123
_symmetry_space_group_name_Hall '-P 4 2'
loop_
_atom_site_label
_atom_site_fract_x
_atom_site_fract_y
_atom_site_fract_z
_atom_site_occupancy
Ba1 0.0000 0.0000 0.0000 1
Ca1 0.5000 0.5000 0.0000 1
Hg1 0.5000 0.5000 0.5000 1
P1 0.0000 0.5000 0.5000 1
```

=====

Entry from the Alexandria database: BaCaI4 after structural relaxation (PBEsol).

Summary:
- E above lowest polymorph (eV per atom) = 0.0514
- crystal system = trigonal
- formation energy from raw total energies (eV per formula unit) = -9.69
- magnetization (μB/atom) = 0.00
- density of states at the Fermi level (states/eV per cell) = 0.00

CIF file:
```
data_BaCaI4
_chemical_formula_sum 'Ba3 Ca3 I12'
_cell_length_a 5.6450
_cell_length_b 5.6450
_cell_length_c 27.0890
_cell_angle_alpha 90.00
_cell_angle_beta 90.00
_cell_angle_gamma 120.00
_symmetry_space_group_name_H-M 'R -3 m'
_symmetry_Int_Tables_number 166
_symmetry_space_group_name_Hall '-R 3 2"'
loop_
_atom_site_label
_atom_site_fract_x
_atom_site_fract_y
_atom_site_fract_z
_atom_site_occupancy
Ba1 0.0000 0.0000 0.0000 1
Ca1 0.0000 0.0000 0.5000 1
I1 0.0000 0.0000 0.1311 1
I2 0.0000 0.0000 0.3808 1
```

=====

Entry from the Alexandria database: BaCaI4 after structural relaxation (PBEsol).

Summary:
- E above lowest polymorph (eV per atom) = 0.0475
- crystal system = orthorhombic
- formation energy from raw total energies (eV per formula unit) = -9.72
- magnetization (μB/atom) = 0.00
- density of states at the Fermi level (states/eV per cell) = 0.00

CIF file:
```
data_BaCaI4
_chemical_formula_sum 'Ba4 Ca4 I16'
_cell_length_a 9.9001
_cell_length_b 10.1776
_cell_length_c 10.3616
_cell_angle_alpha 90.00
_cell_angle_beta 90.00
_cell_angle_gamma 90.00
_symmetry_space_group_name_H-M 'P n n a'
_symmetry_Int_Tables_number 52
loop_
_symmetry_equiv_pos_as_xyz
'x,y,z'
'-x,-y,-z'
'-x+1/2,-y,z'
'x+1/2,y,-z'
'x,-y+1/2,-z+1/2'
'-x,y+1/2,z+1/2'
'-x+1/2,y+1/2,-z+1/2'
'x+1/2,-y+1/2,z+1/2'
loop_
_atom_site_label
_atom_site_fract_x
_atom_site_fract_y
_atom_site_fract_z
_atom_site_occupancy
Ba1 0.1664 0.2500 0.2500 1
Ca1 0.2500 0.0000 0.7375 1
I1 0.0477 0.5544 0.2258 1
I2 0.1991 0.7355 0.5659 1
```

=====

Entry from the Alexandria database: BaCaI4 after structural relaxation (PBEsol).

Summary:
- E above lowest polymorph (eV per atom) = 0.0224
- crystal system = monoclinic
- formation energy from raw total energies (eV per formula unit) = -9.87
- magnetization (μB/atom) = 0.00
- density of states at the Fermi level (states/eV per cell) = 0.00

CIF file:
```
data_BaCaI4
_chemical_formula_sum 'Ba1 Ca1 I4'
_cell_length_a 7.0039
_cell_length_b 4.7130
_cell_length_c 8.3316
_cell_angle_alpha 90.00
_cell_angle_beta 90.76
_cell_angle_gamma 90.00
_symmetry_space_group_name_H-M 'P 1 2/m 1'
_symmetry_Int_Tables_number 10
loop_
_symmetry_equiv_pos_as_xyz
'x,y,z'
'-x,-y,-z'
'-x,y,-z'
'x,-y,z'
loop_
_atom_site_label
_atom_site_fract_x
_atom_site_fract_y
_atom_site_fract_z
_atom_site_occupancy
Ba1 0.0000 0.0000 0.0000 1
Ca1 0.0000 0.5000 0.5000 1
I1 0.2446 0.0000 0.3581 1
I2 0.2610 0.5000 0.8061 1
```

=====

Entry from the Alexandria database: BaCaI4 after structural relaxation (PBEsol).

Summary:
- E above lowest polymorph (eV per atom) = 0.0498
- crystal system = orthorhombic
- formation energy from raw total energies (eV per formula unit) = -9.70
- magnetization (μB/atom) = 0.00
- density of states at the Fermi level (states/eV per cell) = 0.00

CIF file:
```
data_BaCaI4
_chemical_formula_sum 'Ba2 Ca2 I8'
_cell_length_a 4.8482
_cell_length_b 10.8970
_cell_length_c 10.8506
_cell_angle_alpha 90.00
_cell_angle_beta 90.00
_cell_angle_gamma 90.00
_symmetry_space_group_name_H-M 'A m m 2'
_symmetry_Int_Tables_number 38
loop_
_symmetry_equiv_pos_as_xyz
'x,y,z'
'-x,-y,z'
'-x,y,z'
'x,-y,z'
'x,y+1/2,z+1/2'
'-x,-y+1/2,z+1/2'
'-x,y+1/2,z+1/2'
'x,-y+1/2,z+1/2'
loop_
_atom_site_label
_atom_site_fract_x
_atom_site_fract_y
_atom_site_fract_z
_atom_site_occupancy
Ba1 0.0000 0.0000 0.0000 1
Ca1 0.5000 0.0000 0.5000 1
I1 0.0000 0.0000 0.3154 1
I2 0.0000 0.0000 0.6844 1
I3 0.5000 0.2160 0.9984 1
```

=====

Entry from the Alexandria database: BaCaI4 after structural relaxation (PBEsol).

Summary:
- E above lowest polymorph (eV per atom) = 0.0214
- crystal system = orthorhombic
- formation energy from raw total energies (eV per formula unit) = -9.87
- magnetization (μB/atom) = 0.00
- density of states at the Fermi level (states/eV per cell) = 0.00

CIF file:
```
data_BaCaI4
_chemical_formula_sum 'Ba4 Ca4 I16'
_cell_length_a 7.4791
_cell_length_b 18.8521
_cell_length_c 7.8925
_cell_angle_alpha 90.00
_cell_angle_beta 90.00
_cell_angle_gamma 90.00
_symmetry_space_group_name_H-M 'P b c n'
_symmetry_Int_Tables_number 60
loop_
_symmetry_equiv_pos_as_xyz
'x,y,z'
'-x,-y,-z'
'-x+1/2,-y+1/2,z+1/2'
'x+1/2,y+1/2,-z+1/2'
'x+1/2,-y+1/2,-z'
'-x+1/2,y+1/2,z'
'-x,y,-z+1/2'
'x,-y,z+1/2'
loop_
_atom_site_label
_atom_site_fract_x
_atom_site_fract_y
_atom_site_fract_z
_atom_site_occupancy
Ba1 0.0000 0.1746 0.2500 1
Ca1 0.0000 0.4353 0.2500 1
I1 0.2388 0.4531 0.5671 1
I2 0.2441 0.3162 0.1105 1
```

=====

Entry from the Alexandria database: BaCa2I6 after structural relaxation (PBEsol).

Summary:
- E above lowest polymorph (eV per atom) = 0.0412
- crystal system = monoclinic
- formation energy from raw total energies (eV per formula unit) = -14.25
- magnetization (μB/atom) = 0.00
- density of states at the Fermi level (states/eV per cell) = 0.00

CIF file:
```
data_BaCa2I6
_chemical_formula_sum 'Ba2 Ca4 I12'
_cell_length_a 6.2064
_cell_length_b 7.8766
_cell_length_c 15.6734
_cell_angle_alpha 90.00
_cell_angle_beta 106.11
_cell_angle_gamma 90.00
_symmetry_space_group_name_H-M 'P 1 21/c 1'
_symmetry_Int_Tables_number 14
loop_
_symmetry_equiv_pos_as_xyz
'x,y,z'
'-x,-y,-z'
'-x,y+1/2,-z+1/2'
'x,-y+1/2,z+1/2'
loop_
_atom_site_label
_atom_site_fract_x
_atom_site_fract_y
_atom_site_fract_z
_atom_site_occupancy
Ba1 0.0000 0.0000 0.0000 1
Ca1 0.3964 0.1272 0.7533 1
I1 0.1126 0.0302 0.2360 1
I2 0.2866 0.6407 0.1011 1
I3 0.4737 0.6585 0.3990 1
```